Computed, not measured: crystalline Zn2IF2 at its relaxed geometry at the PBE-GGA level of DFT.

Computed properties:
The value obtained for the raw formation energy is -6.275 eV per formula unit. The crystal system is tetragonal.

abc: 6.9942 6.9942 11.1287
angles: 90.00 90.00 90.00
Space group I4_1md (No. 109)
Asymmetric unit:
Zn (0.0000, 0.1896, 0.0000) x8
I (0.0000, 0.0000, 0.6108) x4
F (0.0000, 0.2867, 0.1699) x8

***

Computed, not measured: crystalline LaCdRe2 at its relaxed geometry at the PBE-GGA level of DFT.

Computed properties:
The crystal system is tetragonal. The value obtained for the formation energy is 0.6 eV per formula unit.

abc: 3.1358 3.1358 8.3561
angles: 90.00 90.00 90.00
Space group P4mm (No. 99)
Asymmetric unit:
La (0.0000, 0.0000, 0.0000) x1
Cd (0.5000, 0.5000, 0.6782) x1
Re (0.0000, 0.0000, 0.4357) x1
Re (0.5000, 0.5000, 0.2760) x1

***

Calculated density for every record listed, in sequence, given in g/cm³: 3.608; 12.605.